No. 1
{"formula": "UAl3Ni12", "functional": "PBE-GGA", "state": "relaxed", "cell": [[3.675, 0.000, 0.000], [0.000, 3.675, 0.000], [0.000, 0.000, 14.172]], "species": ["U", "Al", "Al", "Al", "Ni", "Ni", "Ni", "Ni", "Ni", "Ni", "Ni", "Ni", "Ni", "Ni", "Ni", "Ni"], "frac_coords": [[0.000, 0.000, 0.000], [0.000, 0.000, 0.262], [0.000, 0.000, 0.500], [0.000, 0.000, 0.738], [0.000, 0.500, 0.132], [0.000, 0.500, 0.380], [0.000, 0.500, 0.620], [0.000, 0.500, 0.868], [0.500, 0.000, 0.132], [0.500, 0.000, 0.380], [0.500, 0.000, 0.620], [0.500, 0.000, 0.868], [0.500, 0.500, 0.000], [0.500, 0.500, 0.257], [0.500, 0.500, 0.500], [0.500, 0.500, 0.743]], "crystal_system": "tetragonal"}

=====

No. 2
{"formula": "Sr4YNi", "functional": "PBE-GGA", "state": "relaxed", "cell": [[0.000, 5.058, 5.058], [5.058, 0.000, 5.058], [5.058, 5.058, 0.000]], "species": ["Sr", "Sr", "Sr", "Sr", "Y", "Ni"], "frac_coords": [[0.125, 0.125, 0.125], [0.125, 0.125, 0.626], [0.125, 0.626, 0.125], [0.626, 0.125, 0.125], [0.750, 0.750, 0.750], [0.500, 0.500, 0.500]], "crystal_system": "cubic"}

=====

no.,DOS(E_F) (states/eV/f.u.),calculated formation energy (eV/atom),volume (Å³ per cell)
1,10.3,-0.39,191.4
2,11.2,0.85,258.9